An optimized crystal structure of U2Tl3InSe6, computed with PBE.

Lattice parameters (Å, degrees): 10.022 10.022 9.225 104.99 104.99 24.24
Atoms (fractional coordinates):
1 U 0.172 0.172 0.338
2 U 0.828 0.828 0.662
3 Tl 0.156 0.156 0.838
4 Tl 0.500 0.500 0.500
5 Tl 0.844 0.844 0.162
6 In 0.500 0.500 0.000
7 Se 0.028 0.028 0.257
8 Se 0.324 0.324 0.444
9 Se 0.326 0.326 0.871
10 Se 0.674 0.674 0.129
11 Se 0.676 0.676 0.556
12 Se 0.972 0.972 0.743

=====

An optimized crystal structure of UTl3In3Se8, computed with PBE.

Lattice parameters (Å, degrees): 8.113 8.140 9.113 63.60 63.58 60.12
Atoms (fractional coordinates):
1 U 0.000 0.000 0.000
2 Tl 0.000 0.000 0.500
3 Tl 0.000 0.500 0.500
4 Tl 0.500 0.000 0.500
5 In 0.000 0.500 0.000
6 In 0.500 0.000 0.000
7 In 0.500 0.500 0.000
8 Se 0.233 0.737 0.795
9 Se 0.234 0.234 0.795
10 Se 0.264 0.766 0.205
11 Se 0.270 0.269 0.194
12 Se 0.730 0.731 0.806
13 Se 0.736 0.234 0.795
14 Se 0.766 0.766 0.205
15 Se 0.767 0.263 0.205

=====

An optimized crystal structure of UTlInSe4, computed with PBE.

Lattice parameters (Å, degrees): 8.337 8.337 8.337 117.82 108.65 102.32
Atoms (fractional coordinates):
1 U 0.500 0.000 0.000
2 U 0.500 0.500 0.500
3 Tl 0.073 0.323 0.750
4 Tl 0.927 0.677 0.250
5 In 0.000 0.000 0.000
6 In 0.500 0.000 0.500
7 Se 0.238 0.189 0.451
8 Se 0.238 0.787 0.049
9 Se 0.293 0.728 0.565
10 Se 0.337 0.272 0.065
11 Se 0.663 0.728 0.935
12 Se 0.707 0.272 0.435
13 Se 0.762 0.213 0.951
14 Se 0.762 0.811 0.549

=====

An optimized crystal structure of UTl2InSe4, computed with PBE.

Lattice parameters (Å, degrees): 7.597 4.190 7.943 90.00 107.42 90.00
Atoms (fractional coordinates):
1 U 0.000 0.000 0.000
2 Tl 0.000 0.500 0.500
3 Tl 0.500 0.000 0.500
4 In 0.500 0.500 0.000
5 Se 0.220 0.500 0.204
6 Se 0.241 0.000 0.797
7 Se 0.759 0.000 0.203
8 Se 0.780 0.500 0.796

=====

An optimized crystal structure of U3Tl3InSe8, computed with PBE.

Lattice parameters (Å, degrees): 9.133 9.133 9.133 54.78 54.78 54.78
Atoms (fractional coordinates):
1 U 0.000 0.500 0.500
2 U 0.500 0.000 0.500
3 U 0.500 0.500 0.000
4 Tl 0.000 0.000 0.500
5 Tl 0.000 0.500 0.000
6 Tl 0.500 0.000 0.000
7 In 0.000 0.000 0.000
8 Se 0.237 0.237 0.725
9 Se 0.237 0.725 0.237
10 Se 0.265 0.265 0.265
11 Se 0.275 0.763 0.763
12 Se 0.725 0.237 0.237
13 Se 0.735 0.735 0.735
14 Se 0.763 0.275 0.763
15 Se 0.763 0.763 0.275

=====

An optimized crystal structure of TlV2InSe, computed with PBE.

Lattice parameters (Å, degrees): 5.248 5.248 5.389 90.00 90.00 90.00
Atoms (fractional coordinates):
1 Tl 0.000 0.000 0.000
2 V 0.000 0.500 0.000
3 V 0.500 0.000 0.000
4 In 0.000 0.000 0.500
5 Se 0.500 0.500 0.500

=====

An optimized crystal structure of TlInWSe2, computed with PBE.

Lattice parameters (Å, degrees): 4.928 4.928 5.567 90.00 90.00 90.00
Atoms (fractional coordinates):
1 Tl 0.000 0.000 0.000
2 In 0.500 0.500 0.000
3 W 0.500 0.500 0.500
4 Se 0.000 0.500 0.500
5 Se 0.500 0.000 0.500

=====

An optimized crystal structure of YTl2InSe, computed with PBE.

Lattice parameters (Å, degrees): 6.095 6.095 5.326 90.00 90.00 90.00
Atoms (fractional coordinates):
1 Y 0.000 0.000 0.000
2 Tl 0.000 0.500 0.000
3 Tl 0.500 0.000 0.000
4 In 0.500 0.500 0.500
5 Se 0.000 0.000 0.500

=====

Values of raw formation energy, in order: -776, -622, -695, -700, -834, 1274, 136, -34, all in meV per atom.
Values of E_tot, in order: -5.219, -4.254, -5.028, -4.787, -5.606, -4.092, -4.869, -3.518, all in eV/atom.